# SrSiN2

A relaxed SrSiN2 crystal (PBE, the Alexandria database).

Cell lengths 4.7679, 5.9164, 5.6992 Å; angles 116.78, 109.47, 99.43 degrees
Atoms (fractional coordinates):
Sr 0.0981 0.3481 0.1962
Sr 0.9019 0.6519 0.8038
Si 0.7360 0.9860 0.4721
Si 0.2640 0.0140 0.5279
N 0.4230 0.0712 0.3078
N 0.8848 0.7366 0.3078
N 0.5770 0.9288 0.6922
N 0.1152 0.2634 0.6922

Uncorrected formation energy in eV/f.u.: -4.1
Calculated volume in Å³/f.u.: 63
Calculated density in g/cm³: 3.80

***

# RbSr2H2

A relaxed RbSr2H2 crystal (PBE, the Alexandria database).

Cell lengths 8.8938, 8.8938, 4.7512 Å; angles 90.00, 90.00, 90.00 degrees
Atoms (fractional coordinates):
Sr 0.1712 0.6712 0.5000
Sr 0.6712 0.8288 0.5000
Sr 0.8288 0.3288 0.5000
Sr 0.3288 0.1712 0.5000
Rb 0.0000 0.0000 0.0000
Rb 0.5000 0.5000 0.0000
H 0.2141 0.7141 0.0000
H 0.7141 0.7859 0.0000
H 0.7859 0.2859 0.0000
H 0.2859 0.2141 0.0000

Calculated volume in Å³/f.u.: 188
E above lowest polymorph in eV/atom: 0.288
Calculated density in g/cm³: 2.32

***

# TaMnBe2

A relaxed TaMnBe2 crystal (PBE, the Alexandria database).

Cell lengths 2.7189, 2.7189, 6.4526 Å; angles 90.00, 90.00, 89.99 degrees
Atoms (fractional coordinates):
Be 0.0000 0.0000 0.0537
Be 0.5000 0.5000 0.2251
Mn 0.0000 0.0000 0.4534
Ta 0.5000 0.5000 0.7678

Formation enthalpy at 0 K in meV per atom: 46
Calculated volume in Å³/f.u.: 48
E above lowest polymorph in eV/atom: 0.167
Calculated density in g/cm³: 8.84

***

> Which formula does entry 2 have?

RbSr2H2

***

> What is the formula in the second record?

RbSr2H2

***

> The lowest calculated density belongs to which entry?

RbSr2H2

***

> What is the calculated density in the first record?

3.80 g/cm³